(1)
{"formula": "MnBe", "functional": "meta-GGA SCAN", "state": "single point on PBEsol structure", "m_tot_mub_per_atom": 0.04, "dft_energy_ev_per_fu": -22.764, "formation_energy_ev_per_atom": -0.078, "lattice_angstrom": [[-2.325, 0.535, 1.169], [-1.137, -1.982, -1.355], [1.170, -3.292, 3.835]], "species": ["Be", "Be", "Mn", "Mn"], "frac_coords": [[0.500, 0.000, 0.889], [0.000, 0.500, 0.111], [0.500, 0.000, 0.383], [0.000, 0.500, 0.617]]}

(2)
{"formula": "Mn3Be", "functional": "meta-GGA SCAN", "state": "single point on PBEsol structure", "m_tot_mub_per_atom": 0.00, "dft_energy_ev_per_fu": -59.342, "formation_energy_ev_per_atom": -0.056, "lattice_angstrom": [[-3.002, 2.955, 0.511], [-2.934, -2.743, -1.369], [-0.623, -1.322, 3.984]], "species": ["Be", "Be", "Mn", "Mn", "Mn", "Mn", "Mn", "Mn"], "frac_coords": [[0.000, 0.000, 0.000], [0.500, 0.500, 0.500], [0.750, 0.500, 0.000], [0.250, 0.500, 0.000], [0.000, 0.750, 0.500], [0.000, 0.250, 0.500], [0.500, 0.000, 0.250], [0.500, 0.000, 0.750]]}

(3)
{"formula": "MnBe", "functional": "meta-GGA SCAN", "state": "single point on PBEsol structure", "m_tot_mub_per_atom": 1.62, "dft_energy_ev_per_fu": -19.834, "formation_energy_ev_per_atom": 1.387, "lattice_angstrom": [[3.473, 0.000, 0.000], [1.736, 3.007, 0.000], [1.736, 1.002, 2.835]], "species": ["Be", "Mn"], "frac_coords": [[0.000, 0.000, 0.000], [0.250, 0.250, 0.250]]}

(4)
{"formula": "MnBe", "functional": "meta-GGA SCAN", "state": "single point on PBEsol structure", "m_tot_mub_per_atom": 0.00, "dft_energy_ev_per_fu": -22.353, "formation_energy_ev_per_atom": 0.128, "lattice_angstrom": [[2.330, 0.000, 0.000], [0.000, 3.847, 0.000], [0.000, 0.000, 4.168]], "species": ["Be", "Be", "Mn", "Mn"], "frac_coords": [[0.000, 0.000, 0.573], [0.500, 0.500, 0.427], [0.500, 0.000, 0.083], [0.000, 0.500, 0.917]]}

(5)
{"formula": "Mn5Be", "functional": "meta-GGA SCAN", "state": "single point on PBEsol structure", "m_tot_mub_per_atom": 0.05, "dft_energy_ev_per_fu": -95.401, "formation_energy_ev_per_atom": 0.038, "lattice_angstrom": [[2.709, 0.000, 0.000], [-1.354, 4.221, 0.008], [0.000, -1.857, 5.155]], "species": ["Be", "Mn", "Mn", "Mn", "Mn", "Mn"], "frac_coords": [[0.000, 0.000, 0.000], [0.671, 0.341, 0.328], [0.329, 0.659, 0.672], [0.335, 0.671, 0.157], [0.000, 0.000, 0.500], [0.665, 0.329, 0.843]]}

(6)
{"formula": "Mn17Be12", "functional": "meta-GGA SCAN", "state": "single point on PBEsol structure", "m_tot_mub_per_atom": 0.34, "dft_energy_ev_per_fu": -366.342, "formation_energy_ev_per_atom": -0.130, "lattice_angstrom": [[7.000, 0.000, 0.000], [-2.333, 6.600, 0.000], [-2.333, -3.300, 5.716]], "species": ["Be", "Be", "Be", "Be", "Be", "Be", "Be", "Be", "Be", "Be", "Be", "Be", "Mn", "Mn", "Mn", "Mn", "Mn", "Mn", "Mn", "Mn", "Mn", "Mn", "Mn", "Mn", "Mn", "Mn", "Mn", "Mn", "Mn"], "frac_coords": [[0.181, 0.363, 0.363], [0.819, 0.182, 0.182], [0.000, 0.818, 0.637], [0.000, 0.637, 0.818], [0.363, 0.181, 0.363], [0.182, 0.819, 0.182], [0.637, 0.000, 0.818], [0.818, 0.000, 0.637], [0.363, 0.363, 0.181], [0.182, 0.182, 0.819], [0.818, 0.637, 0.000], [0.637, 0.818, 0.000], [0.730, 0.411, 0.411], [0.270, 0.681, 0.681], [0.000, 0.319, 0.589], [0.000, 0.589, 0.319], [0.411, 0.730, 0.411], [0.681, 0.270, 0.681], [0.589, 0.000, 0.319], [0.319, 0.000, 0.589], [0.411, 0.411, 0.730], [0.681, 0.681, 0.270], [0.319, 0.589, 0.000], [0.589, 0.319, 0.000], [0.631, 0.631, 0.631], [0.369, 0.000, 0.000], [0.000, 0.000, 0.369], [0.000, 0.369, 0.000], [0.000, 0.000, 0.000]]}

(7)
{"formula": "MnBe2", "functional": "meta-GGA SCAN", "state": "single point on PBEsol structure", "m_tot_mub_per_atom": 0.39, "dft_energy_ev_per_fu": -27.702, "formation_energy_ev_per_atom": -0.247, "lattice_angstrom": [[-3.665, 1.207, -1.407], [1.863, -3.264, -1.657], [-3.014, -3.974, 4.440]], "species": ["Be", "Be", "Be", "Be", "Be", "Be", "Be", "Be", "Mn", "Mn", "Mn", "Mn"], "frac_coords": [[0.000, 0.000, 0.000], [0.000, 0.000, 0.500], [0.170, 0.830, 0.750], [0.830, 0.170, 0.250], [0.659, 0.830, 0.750], [0.170, 0.341, 0.750], [0.830, 0.659, 0.250], [0.341, 0.170, 0.250], [0.667, 0.333, 0.939], [0.333, 0.667, 0.439], [0.333, 0.667, 0.061], [0.667, 0.333, 0.561]]}

(8)
{"formula": "MnBe", "functional": "meta-GGA SCAN", "state": "single point on PBEsol structure", "m_tot_mub_per_atom": 0.00, "dft_energy_ev_per_fu": -22.930, "formation_energy_ev_per_atom": -0.161, "lattice_angstrom": [[3.699, 0.000, 0.000], [1.849, 3.203, 0.000], [1.849, 1.068, 3.020]], "species": ["Be", "Be", "Mn", "Mn"], "frac_coords": [[0.000, 0.000, 0.000], [0.250, 0.250, 0.250], [0.750, 0.750, 0.750], [0.500, 0.500, 0.500]]}